(1)
Computed, not measured: a relaxed TiSnW3 crystal at the GGA-PBEsol level of DFT.

Unit cell a=4.7956 b=4.7956 c=4.7956 alpha=90.00 beta=90.00 gamma=90.00
With the nearest neighbours (Å) after each atom.
Space group Pm-3m (No. 221)
Asymmetric unit:
Ti: 0.0000 0.0000 0.0000 x1  12 W 3.39
Sn: 0.5000 0.5000 0.5000 x1  6 W 2.40
W: 0.0000 0.5000 0.5000 x3  2 Sn 2.40


(2)
Computed, not measured: a relaxed YTiSn3 crystal at the GGA-PBEsol level of DFT.

Unit cell a=5.1451 b=5.1451 c=5.1451 alpha=90.00 beta=90.00 gamma=90.00
With the nearest neighbours (Å) after each atom.
Space group Pm-3m (No. 221)
Asymmetric unit:
Y: 0.0000 0.0000 0.0000 x1  12 Sn 3.64
Ti: 0.5000 0.5000 0.5000 x1  6 Sn 2.57
Sn: 0.0000 0.5000 0.5000 x3  2 Ti 2.57


(3)
Computed, not measured: a relaxed Tl4Sn crystal at the GGA-PBEsol level of DFT.

Unit cell a=3.4211 b=3.4211 c=40.9497 alpha=90.00 beta=90.00 gamma=120.00
With the nearest neighbours (Å) after each atom.
Space group R-3m (No. 166, hexagonal axes)
Asymmetric unit:
Tl: 0.0000 0.0000 0.1013 x6  3 Sn 3.33, 9 Tl 3.39-3.42
Tl: 0.0000 0.0000 0.2994 x6  12 Tl 3.39-3.42
Sn: 0.0000 0.0000 0.5000 x3  6 Tl 3.33, 6 Sn 3.42


(4)
Computed, not measured: a relaxed YTl2Sn2 crystal at the GGA-PBEsol level of DFT.

Unit cell a=4.2513 b=4.2513 c=15.9365 alpha=90.00 beta=90.00 gamma=90.00
With the nearest neighbours (Å) after each atom.
Space group I4/mmm (No. 139)
Asymmetric unit:
Y: 0.0000 0.0000 0.0000 x2  8 Sn 3.33
Tl: 0.0000 0.5000 0.2500 x4  4 Tl 3.01, 4 Sn 3.33
Sn: 0.0000 0.0000 0.4106 x4  1 Sn 2.85


(5)
Computed, not measured: a relaxed Tl2ZnSn crystal at the GGA-PBEsol level of DFT.

Unit cell a=7.3646 b=7.3646 c=7.3646 alpha=90.00 beta=90.00 gamma=90.00
With the nearest neighbours (Å) after each atom.
Space group Fm-3m (No. 225)
Asymmetric unit:
Tl: 0.2500 0.2500 0.2500 x8  4 Sn 3.19, 4 Zn 3.19
Zn: 0.0000 0.0000 0.0000 x4  8 Tl 3.19
Sn: 0.0000 0.0000 0.5000 x4  8 Tl 3.19


(6)
Computed, not measured: a relaxed USn3 crystal at the GGA-PBEsol level of DFT.

Unit cell a=4.5275 b=4.5275 c=4.5275 alpha=90.00 beta=90.00 gamma=90.00
With the nearest neighbours (Å) after each atom.
Space group Pm-3m (No. 221)
Asymmetric unit:
U: 0.0000 0.0000 0.0000 x1  12 Sn 3.20
Sn: 0.0000 0.5000 0.5000 x3  8 Sn 3.20, 4 U 3.20


(7)
Computed, not measured: a relaxed Y2SnW2 crystal at the GGA-PBEsol level of DFT.

Unit cell a=4.4513 b=4.4513 c=12.1373 alpha=90.00 beta=90.00 gamma=90.00
With the nearest neighbours (Å) after each atom.
Space group I4/mmm (No. 139)
Asymmetric unit:
Y: 0.0000 0.5000 0.2500 x4  4 W 2.94, 4 Y 3.15
Sn: 0.0000 0.0000 0.0000 x2  8 W 3.34
W: 0.0000 0.0000 0.4081 x4  1 W 2.23


(8)
Computed, not measured: a relaxed YSnW3 crystal at the GGA-PBEsol level of DFT.

Unit cell a=4.8909 b=4.8909 c=4.8909 alpha=90.00 beta=90.00 gamma=90.00
With the nearest neighbours (Å) after each atom.
Space group Pm-3m (No. 221)
Asymmetric unit:
Y: 0.0000 0.0000 0.0000 x1  12 W 3.46
Sn: 0.5000 0.5000 0.5000 x1  6 W 2.45
W: 0.0000 0.5000 0.5000 x3  2 Sn 2.45


(9)
Computed, not measured: a relaxed Y3SnW crystal at the GGA-PBEsol level of DFT.

Unit cell a=5.5319 b=5.5319 c=5.5319 alpha=90.00 beta=90.00 gamma=90.00
With the nearest neighbours (Å) after each atom.
Space group Pm-3m (No. 221)
Asymmetric unit:
Y: 0.0000 0.0000 0.5000 x3  2 Sn 2.77
Sn: 0.0000 0.0000 0.0000 x1  6 Y 2.77
W: 0.5000 0.5000 0.5000 x1  12 Y 3.91


(10)
Computed, not measured: a relaxed YSn2 crystal at the GGA-PBEsol level of DFT.

Unit cell a=4.3670 b=16.0933 c=4.2915 alpha=90.00 beta=90.00 gamma=90.00
With the nearest neighbours (Å) after each atom.
Space group Cmcm (No. 63)
Asymmetric unit:
Y: 0.0000 0.0985 0.2500 x4  10 Sn 3.11-3.41
Sn: 0.0000 0.2513 0.7500 x4  4 Sn 3.06, 4 Y 3.26
Sn: 0.0000 0.4361 0.2500 x4  2 Sn 2.97, 4 Y 3.11


(11)
Computed, not measured: a relaxed YSn3 crystal at the GGA-PBEsol level of DFT.

Unit cell a=4.6350 b=4.6350 c=4.6350 alpha=90.00 beta=90.00 gamma=90.00
With the nearest neighbours (Å) after each atom.
Space group Pm-3m (No. 221)
Asymmetric unit:
Y: 0.0000 0.0000 0.0000 x1  12 Sn 3.28
Sn: 0.0000 0.5000 0.5000 x3  8 Sn 3.28, 4 Y 3.28


(12)
Computed, not measured: a relaxed YSn3 crystal at the GGA-PBEsol level of DFT.

Unit cell a=4.4273 b=4.4273 c=10.2191 alpha=90.00 beta=90.00 gamma=90.00
With the nearest neighbours (Å) after each atom.
Space group I4/mmm (No. 139)
Asymmetric unit:
Y: 0.0000 0.0000 0.0000 x2  12 Sn 3.13-3.38
Sn: 0.0000 0.0000 0.5000 x2  4 Y 3.13, 8 Sn 3.38
Sn: 0.0000 0.5000 0.2500 x4  8 Sn 3.13-3.38, 4 Y 3.38


Record order is preserved below.
Final energy: -40.84, -28.03, -44.24, -42.41, -41.91, -25.44, -79.75, -41.82, -32.24, -69.56, -21.60, -42.97 eV/cell
Record order is preserved below.
DOS at the Fermi energy: 6.7, 4.1, 6.1, 5.4, 7.8, 6.4, 12.3, 4.2, 8.8, 5.6, 2.2, 5.6 states/eV/cell